(1)
## Rb2NpI5Cl (PBE)

Data for a relaxed Rb2NpI5Cl crystal.

Cell: 8.571 8.571 11.406 Å, 90.00 90.00 90.00°
Space group I4mm (No. 107)
Unique sites:
Rb: 0.000 0.500 0.000 [4 per cell]
Np: 0.000 0.000 0.247 [2 per cell]
I: 0.000 0.000 0.509 [2 per cell]
I: 0.249 0.249 0.253 [8 per cell]
Cl: 0.000 0.000 0.022 [2 per cell]



(2)
## Rb2NpI3Cl3 (PBE)

Data for a relaxed Rb2NpI3Cl3 crystal.

Cell: 9.2547 9.2547 4.3139 Å, 90.00 90.00 120.00°
Space group P-62m (No. 189)
Unique sites:
Rb: 0.3333 0.6667 0.0000 [2 per cell]
Np: 0.0000 0.0000 0.5000 [1 per cell]
I: 0.0000 0.3590 0.5000 [3 per cell]
Cl: 0.0000 0.7970 0.0000 [3 per cell]



(3)
## NpSeICl (PBE)

Data for a relaxed NpSeICl crystal.

Cell: 4.6821 4.6821 22.5472 Å, 90.00 90.00 120.00°
Space group R3m (No. 160, hexagonal axes)
Unique sites:
Np: 0.0000 0.0000 0.0000 [3 per cell]
Se: 0.0000 0.0000 0.6377 [3 per cell]
I: 0.0000 0.0000 0.8681 [3 per cell]
Cl: 0.0000 0.0000 0.3916 [3 per cell]



(4)
## NpTl2I4Cl2 (PBE)

Data for a relaxed NpTl2I4Cl2 crystal.

Cell: 13.935 8.458 7.534 Å, 90.00 113.70 90.00°
Space group C2/m (No. 12)
Unique sites:
Np: 0.000 0.000 0.000 [2 per cell]
Tl: 0.228 0.500 0.214 [4 per cell]
I: 0.082 0.252 0.811 [8 per cell]
Cl: 0.177 0.000 0.297 [4 per cell]



(5)
## NpTl3I6Cl2 (PBE)

Data for a relaxed NpTl3I6Cl2 crystal.

Cell: 17.518 9.098 7.335 Å, 90.00 104.41 90.00°
Space group C2/m (No. 12)
Unique sites:
Np: 0.000 0.000 0.000 [2 per cell]
Tl: 0.000 0.500 0.500 [2 per cell]
Tl: 0.250 0.250 0.000 [4 per cell]
I: 0.095 0.230 0.236 [8 per cell]
I: 0.109 0.000 0.751 [4 per cell]
Cl: 0.161 0.500 0.764 [4 per cell]



(6)
## NpTl2I2Cl4 (PBE)

Data for a relaxed NpTl2I2Cl4 crystal.

Cell: 7.412 7.412 11.971 Å, 90.00 90.00 90.00°
Space group I4/mmm (No. 139)
Unique sites:
Np: 0.000 0.000 0.000 [2 per cell]
Tl: 0.000 0.500 0.250 [4 per cell]
I: 0.000 0.000 0.256 [4 per cell]
Cl: 0.245 0.245 0.000 [8 per cell]



(7)
## NpTl2ICl6 (PBE)

Data for a relaxed NpTl2ICl6 crystal.

Cell: 7.3947 7.3947 9.3949 Å, 90.00 90.00 120.00°
Space group P-3m1 (No. 164)
Unique sites:
Np: 0.0000 0.0000 0.0000 [1 per cell]
Tl: 0.3333 0.6667 0.8822 [2 per cell]
I: 0.0000 0.0000 0.5000 [1 per cell]
Cl: 0.1687 0.3374 0.1510 [6 per cell]



(8)
## I2ClO (PBE)

Data for a relaxed I2ClO crystal.

Cell: 6.107 6.107 13.779 Å, 90.00 90.00 90.00°
Space group I-42d (No. 122)
Unique sites:
I: 0.010 0.250 0.125 [8 per cell]
Cl: 0.000 0.000 0.500 [4 per cell]
O: 0.000 0.000 0.000 [4 per cell]



(9)
## ICl3O (PBE)

Data for a relaxed ICl3O crystal.

Cell: 5.354 5.354 5.354 Å, 90.00 90.00 90.00°
Space group Pm-3m (No. 221)
Unique sites:
I: 0.000 0.000 0.000 [1 per cell]
Cl: 0.000 0.000 0.500 [3 per cell]
O: 0.500 0.500 0.500 [1 per cell]



(10)
## ICl3O (PBE)

Data for a relaxed ICl3O crystal.

Cell: 4.667 4.667 4.667 Å, 90.00 90.00 90.00°
Space group Pm-3m (No. 221)
Unique sites:
I: 0.000 0.000 0.000 [1 per cell]
Cl: 0.000 0.500 0.500 [3 per cell]
O: 0.500 0.500 0.500 [1 per cell]



(11)
## I2ClO (PBE)

Data for a relaxed I2ClO crystal.

Cell: 7.070 7.070 7.070 Å, 90.00 90.00 90.00°
Space group Fm-3m (No. 225)
Unique sites:
I: 0.250 0.250 0.250 [8 per cell]
Cl: 0.000 0.000 0.000 [4 per cell]
O: 0.000 0.000 0.500 [4 per cell]



(12)
## ICl3O (PBE)

Data for a relaxed ICl3O crystal.

Cell: 7.367 8.218 8.279 Å, 119.00 90.59 114.62°
Space group P1 (No. 1)
Unique sites:
I: 0.000 0.000 0.000 [1 per cell]
I: 0.020 0.730 0.291 [1 per cell]
Cl: 0.262 0.207 0.907 [1 per cell]
Cl: 0.289 0.970 0.176 [1 per cell]
Cl: 0.298 0.719 0.433 [1 per cell]
Cl: 0.722 0.009 0.857 [1 per cell]
Cl: 0.732 0.762 0.117 [1 per cell]
Cl: 0.758 0.522 0.383 [1 per cell]
O: 0.049 0.453 0.724 [1 per cell]
O: 0.978 0.281 0.569 [1 per cell]



no.,final energy (eV per cell),uncorrected formation energy (meV per atom)
1,-71.2,-1238
2,-37.4,-1370
3,-70.8,-947
4,-72.3,-955
5,-83.6,-732
6,-77.2,-1162
7,-41.6,-1126
8,-34.8,303
9,-8.9,633
10,-8.3,757
11,-23.6,1000
12,-25.6,-149